Compound: NaFeNF2
Source: the Alexandria database
Functional: GGA+U
Structure: optimized geometry

The calculation puts the energy above the most stable polymorph in this dataset at 926 meV per atom. The density comes out at 3.12 g/cm³. Its calculated volume is 70 Å³ per cell.

It has space group P4/mmm (No. 123), with a = 3.988 Å, b = 3.988 Å, c = 4.377 Å, α = 90.00°, β = 90.00° and γ = 90.00°. Symmetry generates all atoms from Na at (0.000, 0.000, 0.000), Fe at (0.500, 0.500, 0.500), N at (0.000, 0.000, 0.500) and F at (0.000, 0.500, 0.000).